VASP calculation (PBE) on an optimized crystal structure of CaGeCl3.

Structure (POSCAR):
```
CaGeCl3
1.0
5.3112 0.0000 0.0000
0.0000 5.3112 0.0000
0.0000 0.0000 5.3112
Ca Ge Cl
1 1 3
Direct
0.0000 0.0000 0.0000
0.5000 0.5000 0.5000
0.5000 0.0000 0.0000
0.0000 0.5000 0.0000
0.0000 0.0000 0.5000
```

**Total moment**: 1.00 μB per formula unit
**Total energy**: -0.2590 Ry per atom
**Mass density**: 2.43 g cm⁻³
**Space-group type**: No. 221